An optimized crystal structure of CaMnNbO6, computed with PBE with a Hubbard U.

Lattice parameters (Å, degrees): 4.8514 4.8514 9.4826 90.00 90.00 90.00
Closest atoms and distances in Å follow each position.
Fractional positions:
Ca: 0.0000 0.0000 0.0000  6 O 2.24-2.41
Ca: 0.5000 0.5000 0.5000  6 O 2.24-2.41
Mn: 0.0000 0.0000 0.3317  6 O 1.91-1.97
Mn: 0.5000 0.5000 0.8317  6 O 1.91-1.97
Nb: 0.0000 0.0000 0.6607  6 O 2.00-2.03
Nb: 0.5000 0.5000 0.1607  6 O 2.00-2.03
O: 0.1732 0.1732 0.4893  1 Mn 1.91, 1 Nb 2.01
O: 0.2112 0.2112 0.1913  1 Mn 1.97, 1 Nb 2.00
O: 0.2216 0.2216 0.8031  1 Mn 1.93, 1 Nb 2.03
O: 0.2784 0.7216 0.3031  1 Mn 1.93, 1 Nb 2.03
O: 0.2888 0.7112 0.6913  1 Mn 1.97, 1 Nb 2.00
O: 0.3268 0.6732 0.9893  1 Mn 1.91, 1 Nb 2.01
O: 0.6732 0.3268 0.9893  1 Mn 1.91, 1 Nb 2.01
O: 0.7112 0.2888 0.6913  1 Mn 1.97, 1 Nb 2.00
O: 0.7216 0.2784 0.3031  1 Mn 1.93, 1 Nb 2.03
O: 0.7784 0.7784 0.8031  1 Mn 1.93, 1 Nb 2.03
O: 0.7888 0.7888 0.1913  1 Mn 1.97, 1 Nb 2.00
O: 0.8268 0.8268 0.4893  1 Mn 1.91, 1 Nb 2.01

Summary:
space group	No. 102
final energy	-7.489	eV per atom